DFT (PBE) results for a geometry-optimized MgH2Pd structure.

Results
- Final energy: -3.647 eV/atom
- Spin magnetization: 0.0 μB/f.u.

Cell lengths 4.305, 4.305, 5.424 Å; angles 66.62, 66.62, 90.00 degrees
Fractional coordinates of all 8 atoms:
Mg  0.500  0.500  0.000
H  0.658  0.125  0.250
Mg  0.250  0.750  0.500
Pd  0.000  0.000  0.000
H  0.092  0.625  0.250
H  0.375  0.342  0.750
H  0.875  0.908  0.750
Pd  0.750  0.250  0.500

***

DFT (PBE) results for a geometry-optimized SrTl2Au structure.

Results
- Final energy: -2.701 eV/atom
- Spin magnetization: 0.0 μB/f.u.
- Energy of formation: -0.278 eV per atom

Cell lengths 6.513, 6.513, 6.513 Å; angles 138.89, 138.89, 59.54 degrees
Fractional coordinates of all 4 atoms:
Au  0.250  0.750  0.500
Tl  0.000  0.000  0.000
Sr  0.750  0.250  0.500
Tl  0.500  0.500  0.000

***

DFT (PBE) results for a geometry-optimized Sc2ZnHgC structure.

Results
- Final energy: -4.992 eV/atom
- Spin magnetization: 0.0 μB/f.u.
- Energy of formation: -0.300 eV per atom

Cell lengths 4.594, 4.594, 4.068 Å; angles 90.00, 90.00, 90.00 degrees
Fractional coordinates of all 5 atoms:
Sc  0.000  0.500  0.000
Hg  0.500  0.500  0.500
Sc  0.500  0.000  0.000
Zn  0.000  0.000  0.500
C  0.000  0.000  0.000

***

DFT (PBE) results for a geometry-optimized Tb3Nd2Si4 structure.

Results
- Final energy: -5.763 eV/atom
- Formation energy without anion corrections: -750 meV/atom
- Spin magnetization: 0.0 μB/f.u.

Cell lengths 7.550, 7.762, 7.817 Å; angles 90.00, 90.00, 106.48 degrees
Fractional coordinates of all 18 atoms:
Si  0.122  0.507  0.882
Si  0.881  0.080  0.530
Si  0.119  0.920  0.470
Nd  0.587  0.200  0.321
Tb  0.746  0.756  0.319
Nd  0.913  0.800  0.821
Tb  0.000  0.500  0.500
Tb  0.500  0.500  0.000
Tb  0.754  0.244  0.819
Si  0.381  0.080  0.970
Tb  0.254  0.244  0.681
Si  0.378  0.493  0.382
Tb  0.246  0.756  0.181
Nd  0.413  0.800  0.679
Si  0.622  0.507  0.618
Nd  0.087  0.200  0.179
Si  0.619  0.920  0.030
Si  0.878  0.493  0.118

***

DFT (PBE) results for a geometry-optimized NdCuSi2Ni structure.

Results
- Final energy: -5.790 eV/atom
- Formation energy without anion corrections: -692 meV/atom
- Spin magnetization: 0.0 μB/f.u.

Cell lengths 4.072, 4.072, 5.667 Å; angles 111.06, 111.06, 90.00 degrees
Fractional coordinates of all 5 atoms:
Si  0.375  0.375  0.750
Nd  0.000  0.000  0.000
Ni  0.250  0.750  0.500
Si  0.625  0.625  0.250
Cu  0.750  0.250  0.500

***

DFT (PBE) results for a geometry-optimized KNpBO5 structure.

Results
- Final energy: -8.076 eV/atom
- Formation energy without anion corrections: -2388 meV/atom
- Spin magnetization: 1.0 μB/f.u.

Cell lengths 5.665, 5.665, 7.865 Å; angles 106.02, 106.02, 104.46 degrees
Site moments in Bohr magnetons follow the coordinates.
Fractional coordinates of all 16 atoms:
Np  0.000  0.000  0.500  1.25
B  0.309  0.691  0.750  -0.01
O  0.719  0.138  0.369  -0.05
K  0.658  0.342  0.750  0.00
O  0.068  0.932  0.250  -0.06
Np  0.000  0.000  0.000  1.25
O  0.222  0.408  0.626  -0.05
O  0.592  0.778  0.874  -0.05
O  0.778  0.592  0.374  -0.05
O  0.281  0.862  0.631  -0.05
O  0.932  0.068  0.750  -0.06
O  0.408  0.222  0.126  -0.05
B  0.691  0.309  0.250  -0.01
O  0.862  0.281  0.131  -0.05
O  0.138  0.719  0.869  -0.05
K  0.342  0.658  0.250  0.00

***

DFT (PBE) results for a geometry-optimized Ac2TlCd2Rh5 structure.

Results
- Final energy: -5.137 eV/atom
- Spin magnetization: 0.0 μB/f.u.
- Energy of formation: -0.220 eV per atom

Cell lengths 3.846, 10.437, 10.437 Å; angles 90.00, 90.00, 90.00 degrees
Fractional coordinates of all 20 atoms:
Rh  0.500  0.000  0.500
Rh  0.500  0.545  0.702
Rh  0.500  0.955  0.202
Cd  0.000  0.627  0.873
Ac  0.000  0.827  0.673
Rh  0.500  0.298  0.545
Ac  0.000  0.673  0.173
Rh  0.500  0.500  0.000
Cd  0.000  0.373  0.127
Rh  0.500  0.045  0.798
Ac  0.000  0.173  0.327
Tl  0.000  0.000  0.000
Rh  0.500  0.455  0.298
Cd  0.000  0.127  0.627
Rh  0.500  0.202  0.045
Rh  0.500  0.798  0.955
Ac  0.000  0.327  0.827
Cd  0.000  0.873  0.373
Tl  0.000  0.500  0.500
Rh  0.500  0.702  0.455

***

DFT (PBE) results for a geometry-optimized RbTa structure.

Results
- Final energy: -2.957 eV/atom
- Spin magnetization: 4.0 μB/f.u.
- Energy of formation: 3.453 eV per atom

Cell lengths 8.503, 8.503, 8.503 Å; angles 90.00, 90.00, 90.00 degrees
Site moments in Bohr magnetons follow the coordinates.
Fractional coordinates of all 8 atoms:
Rb  0.250  0.250  0.250  0.04
Rb  0.750  0.250  0.750  0.04
Rb  0.750  0.750  0.250  0.04
Ta  0.500  0.500  0.000  2.39
Rb  0.250  0.750  0.750  0.04
Ta  0.000  0.500  0.500  2.39
Ta  0.000  0.000  0.000  2.39
Ta  0.500  0.000  0.500  2.39

***

DFT (PBE) results for a geometry-optimized LaIn2Rh structure.

Results
- Final energy: -5.102 eV/atom
- Spin magnetization: 0.0 μB/f.u.
- Energy of formation: -0.663 eV per atom

Cell lengths 4.546, 5.586, 8.115 Å; angles 90.00, 90.00, 113.96 degrees
Fractional coordinates of all 8 atoms:
Rh  0.206  0.412  0.250
In  0.649  0.298  0.450
In  0.351  0.702  0.950
In  0.649  0.298  0.050
La  0.938  0.876  0.250
La  0.062  0.124  0.750
In  0.351  0.702  0.550
Rh  0.794  0.588  0.750

***

DFT (PBE) results for a geometry-optimized VSiSN2 structure.

Results
- Final energy: -6.731 eV/atom
- Formation energy without anion corrections: 333 meV/atom
- Spin magnetization: 1.7 μB/f.u.

Cell lengths 3.512, 3.512, 4.943 Å; angles 90.00, 90.00, 90.00 degrees
Site moments in Bohr magnetons follow the coordinates.
Fractional coordinates of all 5 atoms:
N  0.000  0.500  0.000  -0.32
S  0.000  0.000  0.500  -0.09
Si  0.000  0.000  0.000  0.02
N  0.500  0.000  0.000  -0.32
V  0.500  0.500  0.500  2.34

***

DFT (PBE) results for a geometry-optimized Sr2PdI2 structure.

Results
- Final energy: -3.204 eV/atom
- Formation energy without anion corrections: -873 meV/atom
- Spin magnetization: 0.0 μB/f.u.

Cell lengths 8.501, 8.501, 4.935 Å; angles 90.00, 90.00, 90.00 degrees
Fractional coordinates of all 10 atoms:
Sr  0.825  0.675  0.000
Pd  0.000  0.000  0.000
I  0.852  0.352  0.500
Sr  0.175  0.325  0.000
I  0.352  0.148  0.500
Pd  0.500  0.500  0.000
I  0.148  0.648  0.500
Sr  0.675  0.175  0.000
I  0.648  0.852  0.500
Sr  0.325  0.825  0.000

***

DFT (PBE) results for a geometry-optimized Pr3Si2IrPt9 structure.

Results
- Final energy: -6.437 eV/atom
- Formation energy without anion corrections: -543 meV/atom
- Spin magnetization: 0.0 μB/f.u.

Cell lengths 7.586, 7.586, 6.303 Å; angles 90.00, 90.00, 120.00 degrees
Fractional coordinates of all 15 atoms:
Si  0.333  0.667  0.148
Pr  0.667  0.333  0.349
Pt  0.500  0.500  0.000
Pt  0.500  0.000  0.000
Pt  0.173  0.827  0.316
Pt  0.173  0.347  0.316
Pr  0.000  0.000  0.000
Pt  0.827  0.653  0.684
Pr  0.333  0.667  0.651
Pt  0.000  0.500  0.000
Pt  0.347  0.173  0.684
Pt  0.827  0.173  0.684
Pt  0.653  0.827  0.316
Ir  0.000  0.000  0.500
Si  0.667  0.333  0.852